{
  "formula": "NaSb2PdS",
  "functional": "PBE-GGA",
  "state": "relaxed",
  "formation_energy_uncorrected_ev_per_atom": 1.016,
  "mass_density_g_cm3": 5.05,
  "lattice": [[5.328, 0.000, 0.000], [0.000, 4.689, 0.000], [0.000, 0.000, 5.328]],
  "species": ["S", "Sb", "Sb", "Na", "Pd"],
  "fractional_positions": [[0.500, 0.500, 0.500], [0.500, 0.000, 0.000], [0.000, 0.000, 0.500], [0.000, 0.000, 0.000], [0.000, 0.500, 0.000]]
}

***

{
  "formula": "VHgSe2",
  "functional": "PBE-GGA",
  "state": "relaxed",
  "formation_energy_uncorrected_ev_per_atom": -0.241,
  "mass_density_g_cm3": 5.49,
  "lattice": [[6.940, 0.000, 0.000], [0.000, 6.940, 0.000], [3.470, 3.470, 5.145]],
  "species": ["Se", "Se", "V", "Se", "V", "Se", "Hg", "Hg"],
  "fractional_positions": [[0.875, 0.757, 0.750], [0.375, 0.493, 0.750], [0.250, 0.750, 0.500], [0.243, 0.625, 0.250], [0.500, 0.500, 0.000], [0.507, 0.125, 0.250], [0.000, 0.000, 0.000], [0.750, 0.250, 0.500]]
}

***

{
  "formula": "AcMg2ScAu4",
  "functional": "PBE-GGA",
  "state": "relaxed",
  "mass_density_g_cm3": 10.39,
  "formation_energy_ev_per_atom": -0.728,
  "lattice": [[-0.458, 2.794, 3.809], [0.250, -1.867, 4.356], [8.912, 1.681, 2.795]],
  "species": ["Au", "Ac", "Sc", "Au", "Au", "Mg", "Au", "Mg"],
  "fractional_positions": [[0.128, 0.128, 0.616], [0.000, 0.000, 0.000], [0.500, 0.500, 0.500], [0.398, 0.398, 0.806], [0.872, 0.872, 0.384], [0.236, 0.236, 0.291], [0.602, 0.602, 0.194], [0.764, 0.764, 0.709]]
}

***

{
  "formula": "PrIn2Au",
  "functional": "PBE-GGA",
  "state": "relaxed",
  "mass_density_g_cm3": 8.23,
  "formation_energy_ev_per_atom": 0.024,
  "lattice": [[-3.069, -0.214, -1.704], [-2.892, -1.040, 1.710], [-4.119, 9.733, 2.568]],
  "species": ["In", "In", "Au", "Pr"],
  "fractional_positions": [[0.898, 0.898, 0.306], [0.102, 0.102, 0.694], [0.500, 0.500, 0.500], [0.000, 0.000, 0.000]]
}

***

{
  "formula": "Zr3Pt",
  "functional": "PBE-GGA",
  "state": "relaxed",
  "mass_density_g_cm3": 9.63,
  "formation_energy_ev_per_atom": -0.449,
  "lattice": [[3.596, 0.000, 0.000], [0.000, 4.739, 0.000], [0.000, 0.000, 4.744]],
  "species": ["Zr", "Zr", "Zr", "Pt"],
  "fractional_positions": [[0.500, 0.500, 0.917], [0.500, 0.000, 0.417], [0.000, 0.000, 0.917], [0.000, 0.500, 0.417]]
}

***

{
  "formula": "La7Pm2Mg2",
  "functional": "PBE-GGA",
  "state": "relaxed",
  "relative_energy_kj_per_mol_fu": 37,
  "mass_density_g_cm3": 5.66,
  "formation_energy_ev_per_atom": 0.108,
  "lattice": [[-0.013, -0.958, 8.142], [6.819, 0.772, 0.915], [-1.744, 6.512, 1.577]],
  "species": ["La", "La", "Pm", "Mg", "La", "La", "La", "Pm", "Mg", "La", "La"],
  "fractional_positions": [[0.183, 0.523, 0.082], [0.525, 0.666, 0.666], [0.500, 0.169, 0.831], [0.130, 0.605, 0.605], [0.817, 0.918, 0.477], [0.475, 0.334, 0.334], [0.000, 0.000, 0.000], [0.500, 0.831, 0.169], [0.870, 0.395, 0.395], [0.817, 0.477, 0.918], [0.183, 0.082, 0.523]]
}

***

{
  "formula": "La3Pm8Dy2",
  "functional": "PBE-GGA",
  "state": "relaxed",
  "relative_energy_kj_per_mol_fu": 104,
  "mass_density_g_cm3": 6.80,
  "formation_energy_ev_per_atom": 0.220,
  "lattice": [[-1.886, -5.429, -0.747], [3.574, -0.294, -6.891], [6.734, -3.437, 8.017]],
  "species": ["La", "Pm", "La", "Pm", "Dy", "Pm", "La", "Pm", "Pm", "Pm", "Pm", "Dy", "Pm"],
  "fractional_positions": [[0.000, 0.706, 0.000], [0.001, 0.864, 0.727], [0.000, 0.294, 0.000], [0.500, 0.818, 0.218], [0.501, 0.758, 0.517], [0.500, 0.400, 0.218], [0.500, 0.000, 0.000], [0.500, 0.600, 0.782], [0.999, 0.136, 0.273], [0.000, 0.324, 0.649], [0.000, 0.676, 0.351], [0.499, 0.242, 0.483], [0.500, 0.182, 0.782]]
}

***

{
  "formula": "Tb2Sm4Tm",
  "functional": "PBE-GGA",
  "state": "relaxed",
  "relative_energy_kj_per_mol_fu": 0,
  "mass_density_g_cm3": 7.87,
  "formation_energy_ev_per_atom": 0.128,
  "lattice": [[-1.078, 4.746, -3.823], [-4.151, 2.628, 4.434], [9.009, 3.446, 6.392]],
  "species": ["Tb", "Tm", "Sm", "Tb", "Sm", "Sm", "Tm", "Sm", "Tb", "Tb", "Sm", "Sm", "Sm", "Sm"],
  "fractional_positions": [[0.287, 0.250, 0.422], [0.851, 0.250, 0.837], [0.040, 0.750, 0.865], [0.608, 0.750, 0.994], [0.350, 0.010, 0.714], [0.151, 0.750, 0.450], [0.149, 0.750, 0.163], [0.650, 0.990, 0.286], [0.392, 0.250, 0.006], [0.713, 0.750, 0.578], [0.849, 0.250, 0.550], [0.650, 0.510, 0.286], [0.350, 0.490, 0.714], [0.960, 0.250, 0.135]]
}

***

{
  "formula": "BaCeBr6",
  "functional": "PBE-GGA",
  "state": "relaxed",
  "formation_energy_uncorrected_ev_per_atom": -1.783,
  "mass_density_g_cm3": 3.84,
  "lattice": [[-5.910, 3.468, 2.854], [-6.295, 0.433, -3.913], [-6.205, -4.608, 2.412]],
  "species": ["Br", "Ba", "Br", "Br", "Ce", "Br", "Br", "Br"],
  "fractional_positions": [[0.217, 0.950, 0.234], [0.500, 0.500, 0.500], [0.399, 0.784, 0.765], [0.783, 0.050, 0.766], [0.000, 0.000, 0.000], [0.051, 0.400, 0.764], [0.949, 0.600, 0.236], [0.601, 0.216, 0.235]]
}

***

{
  "formula": "SnHgW3",
  "functional": "PBE-GGA",
  "state": "relaxed",
  "relative_energy_kj_per_mol_fu": 88,
  "mass_density_g_cm3": 11.96,
  "formation_energy_ev_per_atom": 2.885,
  "lattice": [[-3.045, -3.125, 2.328], [3.738, -1.509, 2.865], [-1.100, 3.524, 3.291]],
  "species": ["W", "Sn", "W", "W", "Hg"],
  "fractional_positions": [[0.000, 0.000, 0.500], [0.500, 0.500, 0.500], [0.000, 0.500, 0.000], [0.500, 0.000, 0.000], [0.000, 0.000, 0.000]]
}

***

{
  "formula": "Tb6Pd5Pt",
  "functional": "PBE-GGA",
  "state": "relaxed",
  "relative_energy_kj_per_mol_fu": 146,
  "mass_density_g_cm3": 9.59,
  "formation_energy_ev_per_atom": -0.804,
  "lattice": [[7.051, 0.208, 0.000], [2.183, 6.775, 0.000], [1.092, 3.387, 6.149]],
  "species": ["Pd", "Pd", "Tb", "Pd", "Tb", "Pd", "Pt", "Tb", "Pd", "Tb", "Tb", "Tb"],
  "fractional_positions": [[0.500, 0.169, 0.662], [0.000, 0.335, 0.331], [0.251, 0.246, 0.000], [0.500, 0.831, 0.338], [0.246, 0.918, 0.670], [0.000, 0.665, 0.669], [0.000, 0.000, 0.000], [0.246, 0.588, 0.330], [0.500, 0.500, 0.000], [0.749, 0.754, 0.000], [0.754, 0.412, 0.670], [0.754, 0.082, 0.330]]
}

***

{
  "formula": "Pr2Nd4Ho",
  "functional": "PBE-GGA",
  "state": "relaxed",
  "mass_density_g_cm3": 6.97,
  "formation_energy_ev_per_atom": 0.013,
  "lattice": [[-9.453, 2.139, -3.753], [1.613, -6.122, -0.372], [-3.064, -0.175, 7.599]],
  "species": ["Pr", "Nd", "Nd", "Pr", "Nd", "Nd", "Nd", "Ho", "Pr", "Nd", "Ho", "Nd", "Nd", "Pr"],
  "fractional_positions": [[0.696, 0.266, 0.680], [0.053, 0.696, 0.823], [0.410, 0.125, 0.962], [0.625, 0.982, 0.249], [0.770, 0.554, 0.106], [0.125, 0.982, 0.249], [0.266, 0.554, 0.109], [0.338, 0.838, 0.536], [0.196, 0.268, 0.678], [0.984, 0.411, 0.391], [0.911, 0.125, 0.964], [0.840, 0.839, 0.537], [0.554, 0.699, 0.822], [0.481, 0.411, 0.394]]
}

***

{
  "formula": "PrSm2YTm5",
  "functional": "PBE-GGA",
  "state": "relaxed",
  "mass_density_g_cm3": 7.88,
  "formation_energy_ev_per_atom": 0.266,
  "lattice": [[8.754, 0.000, 0.000], [0.000, 8.754, 0.000], [-4.377, -4.377, 7.559]],
  "species": ["Tm", "Sm", "Tm", "Tm", "Y", "Tm", "Pr", "Tm", "Tm", "Sm", "Tm", "Sm", "Y", "Tm", "Tm", "Pr", "Tm", "Sm"],
  "fractional_positions": [[0.926, 0.426, 0.271], [0.885, 0.615, 0.000], [0.655, 0.155, 0.729], [0.426, 0.345, 0.271], [0.250, 0.750, 0.500], [0.345, 0.845, 0.271], [0.250, 0.250, 0.500], [0.155, 0.074, 0.729], [0.500, 0.500, 0.000], [0.385, 0.885, 0.000], [0.574, 0.655, 0.729], [0.115, 0.385, 0.000], [0.750, 0.250, 0.500], [0.074, 0.574, 0.729], [0.845, 0.926, 0.271], [0.750, 0.750, 0.500], [0.000, 0.000, 0.000], [0.615, 0.115, 0.000]]
}

***

{
  "formula": "NaReIr3",
  "functional": "PBE-GGA",
  "state": "relaxed",
  "relative_energy_kj_per_mol_fu": 0,
  "mass_density_g_cm3": 11.92,
  "formation_energy_ev_per_atom": 1.290,
  "lattice": [[4.784, 0.000, 0.000], [0.000, 4.784, 0.000], [0.000, 0.000, 4.784]],
  "species": ["Ir", "Ir", "Re", "Ir", "Na"],
  "fractional_positions": [[0.000, 0.500, 0.000], [0.000, 0.000, 0.500], [0.000, 0.000, 0.000], [0.500, 0.000, 0.000], [0.500, 0.500, 0.500]]
}

***

{
  "formula": "AgIrRu",
  "functional": "PBE-GGA",
  "state": "relaxed",
  "relative_energy_kj_per_mol_fu": 7,
  "mass_density_g_cm3": 14.34,
  "formation_energy_ev_per_atom": 0.269,
  "lattice": [[-3.007, 1.678, -5.364], [-5.714, 1.122, -2.593], [4.498, 0.483, 4.491]],
  "species": ["Ag", "Ru", "Ir"],
  "fractional_positions": [[0.001, 0.001, 0.000], [0.679, 0.679, 0.000], [0.320, 0.320, 0.000]]
}

***

{
  "formula": "HgGe2Cl2",
  "functional": "PBE-GGA",
  "state": "relaxed",
  "formation_energy_uncorrected_ev_per_atom": -0.266,
  "mass_density_g_cm3": 5.61,
  "lattice": [[7.009, 0.000, 0.000], [0.000, 7.009, 0.000], [0.000, 0.000, 5.027]],
  "species": ["Cl", "Cl", "Ge", "Cl", "Ge", "Hg", "Ge", "Cl", "Hg", "Ge"],
  "fractional_positions": [[0.323, 0.823, 0.500], [0.823, 0.677, 0.500], [0.634, 0.134, 0.000], [0.177, 0.323, 0.500], [0.134, 0.366, 0.000], [0.000, 0.000, 0.000], [0.366, 0.866, 0.000], [0.677, 0.177, 0.500], [0.500, 0.500, 0.000], [0.866, 0.634, 0.000]]
}

***

{
  "formula": "AlFeAs2",
  "functional": "PBE-GGA",
  "state": "relaxed",
  "mass_density_g_cm3": 5.72,
  "formation_energy_ev_per_atom": -0.005,
  "lattice": [[-1.693, 1.726, 2.526], [-0.472, -1.499, 3.124], [4.794, 2.540, 3.912]],
  "species": ["Fe", "As", "As", "Al"],
  "fractional_positions": [[0.750, 0.750, 0.750], [0.006, 0.006, 0.981], [0.494, 0.494, 0.519], [0.250, 0.250, 0.250]]
}

***

{
  "formula": "ZrAg3",
  "functional": "PBE-GGA",
  "state": "relaxed",
  "mass_density_g_cm3": 8.90,
  "formation_energy_ev_per_atom": 0.105,
  "lattice": [[-2.859, 0.313, 4.893], [7.341, -3.021, 4.484], [1.870, 5.632, 0.732]],
  "species": ["Ag", "Zr", "Ag", "Zr", "Ag", "Ag", "Zr", "Ag", "Ag", "Zr", "Ag", "Ag", "Ag", "Ag", "Ag", "Ag"],
  "fractional_positions": [[0.243, 0.020, 0.952], [0.976, 0.750, 0.712], [0.402, 0.250, 0.684], [0.476, 0.750, 0.788], [0.243, 0.480, 0.952], [0.757, 0.520, 0.048], [0.524, 0.250, 0.212], [0.757, 0.980, 0.048], [0.743, 0.480, 0.548], [0.024, 0.250, 0.288], [0.257, 0.980, 0.452], [0.902, 0.250, 0.816], [0.257, 0.520, 0.452], [0.743, 0.020, 0.548], [0.598, 0.750, 0.316], [0.098, 0.750, 0.184]]
}

***

{
  "formula": "Zr4Sb5H2",
  "functional": "PBE-GGA",
  "state": "relaxed",
  "dft_energy_ev_per_cell": -64.850,
  "mass_density_g_cm3": 6.83,
  "lattice": [[3.237, 0.000, 0.000], [0.000, 8.690, 0.743], [-1.618, -1.694, 8.292]],
  "species": ["Sb", "Sb", "Zr", "Sb", "Sb", "Zr", "H", "H", "Zr", "Sb", "Zr"],
  "fractional_positions": [[0.500, 0.000, 0.000], [0.836, 0.124, 0.671], [0.661, 0.578, 0.321], [0.827, 0.708, 0.653], [0.164, 0.876, 0.329], [0.339, 0.422, 0.679], [0.543, 0.603, 0.085], [0.457, 0.397, 0.915], [0.004, 0.298, 0.008], [0.173, 0.292, 0.347], [0.996, 0.702, 0.992]]
}

***

{
  "formula": "Bi3BPb",
  "functional": "PBE-GGA",
  "state": "relaxed",
  "relative_energy_kj_per_mol_fu": 536,
  "mass_density_g_cm3": 6.71,
  "formation_energy_ev_per_atom": 1.744,
  "lattice": [[-2.621, -0.695, 5.279], [1.853, -5.636, 0.178], [4.992, 1.727, 2.706]],
  "species": ["Bi", "Bi", "B", "Bi", "Pb"],
  "fractional_positions": [[0.500, 0.000, 0.000], [0.000, 0.000, 0.500], [0.500, 0.500, 0.500], [0.000, 0.500, 0.000], [0.000, 0.000, 0.000]]
}

***

Number 1: total moment 0.00 μB/f.u.. Number 2: total moment 0.99 μB/f.u.. Number 3: total moment 0.00 μB/f.u.. Number 4: total moment 0.00 μB/f.u.. Number 5: total moment 0.00 μB/f.u.. Number 6: total moment 0.00 μB/f.u.. Number 7: total moment 0.00 μB/f.u.. Number 8: total moment 0.00 μB/f.u.. Number 9: total moment 0.00 μB/f.u.. Number 10: total moment 0.00 μB/f.u.. Number 11: total moment 0.00 μB/f.u.. Number 12: total moment 0.00 μB/f.u.. Number 13: total moment 0.00 μB/f.u.. Number 14: total moment 0.00 μB/f.u.. Number 15: total moment 0.00 μB/f.u.. Number 16: total moment 0.00 μB/f.u.. Number 17: total moment 2.32 μB/f.u.. Number 18: total moment 0.00 μB/f.u.. Number 19: total moment 0.00 μB/f.u.. Number 20: total moment 0.00 μB/f.u..